Computed, not measured: a crystal of CuRh2 relaxed with PBEsol at the meta-GGA SCAN level of DFT.

Calculated values
Energy relative to the lowest polymorph listed for this composition: 48.9 meV per atom
E_tot: -329.8 eV per cell
Density of states at the Fermi level: 1.28 states/eV/atom
Calculated formation energy: 96 meV per atom

a b c (Å): 5.2887 3.7023 7.9229
angles (deg): 90.00 90.00 90.00
Element x y z (fractional)
Cu (0.1173, 0.2500, 0.0806)
Cu (0.3827, 0.7500, 0.5806)
Cu (0.6173, 0.2500, 0.4194)
Cu (0.8827, 0.7500, 0.9194)
Rh (0.1237, 0.2500, 0.4168)
Rh (0.1293, 0.2500, 0.7463)
Rh (0.3707, 0.7500, 0.2463)
Rh (0.3763, 0.7500, 0.9168)
Rh (0.6237, 0.2500, 0.0832)
Rh (0.6293, 0.2500, 0.7537)
Rh (0.8707, 0.7500, 0.2537)
Rh (0.8763, 0.7500, 0.5832)

Computed, not measured: a crystal of Li3GaPt relaxed with PBEsol at the meta-GGA SCAN level of DFT.

Calculated values
E_tot: -91.6 eV per cell
Density of states at the Fermi level: 0.34 states/eV/atom
Calculated formation energy: 431 meV per atom

a b c (Å): 4.3944 4.3944 4.3944
angles (deg): 90.00 90.00 90.00
Element x y z (fractional)
Li (0.0000, 0.0000, 0.5000)
Li (0.0000, 0.5000, 0.0000)
Li (0.5000, 0.0000, 0.0000)
Ga (0.0000, 0.0000, 0.0000)
Pt (0.5000, 0.5000, 0.5000)

Computed, not measured: a crystal of CuAgMo2 relaxed with PBEsol at the meta-GGA SCAN level of DFT.

Calculated values
Energy relative to the lowest polymorph listed for this composition: 0.0 meV per atom
E_tot: -230.7 eV per cell
Density of states at the Fermi level: 0.49 states/eV/atom
Calculated formation energy: 250 meV per atom

a b c (Å): 3.1707 4.2738 8.7212
angles (deg): 90.00 90.00 90.00
Element x y z (fractional)
Cu (0.0000, 0.0000, 0.0000)
Cu (0.5000, 0.5000, 0.0000)
Ag (0.0000, 0.5000, 0.2423)
Ag (0.5000, 0.0000, 0.2423)
Mo (0.0000, 0.0000, 0.5147)
Mo (0.0000, 0.5000, 0.7643)
Mo (0.5000, 0.0000, 0.7643)
Mo (0.5000, 0.5000, 0.5147)

Computed, not measured: a crystal of Tl2WBr relaxed with PBEsol at the meta-GGA SCAN level of DFT.

Calculated values
Energy relative to the lowest polymorph listed for this composition: 222.2 meV per atom
E_tot: -460.8 eV per cell
Density of states at the Fermi level: 0.81 states/eV/atom
Formation energy without anion corrections: 0.867 eV per atom

a b c (Å): 2.9953 4.5367 14.0188
angles (deg): 90.00 90.00 90.00
Element x y z (fractional)
Tl (0.0000, 0.0000, 0.1844)
Tl (0.0000, 0.0000, 0.8156)
Tl (0.5000, 0.5000, 0.3156)
Tl (0.5000, 0.5000, 0.6844)
W (0.0000, 0.5000, 0.5000)
W (0.5000, 0.0000, 0.0000)
Br (0.0000, 0.5000, 0.0000)
Br (0.5000, 0.0000, 0.5000)

Computed, not measured: a crystal of CaScCu4 relaxed with PBEsol at the meta-GGA SCAN level of DFT.

Calculated values
E_tot: -85.5 eV per cell
Density of states at the Fermi level: 0.55 states/eV/atom
Calculated formation energy: -135 meV per atom

a b c (Å): 5.0811 5.0811 5.0811
angles (deg): 60.00 60.00 60.00
Element x y z (fractional)
Ca (0.0000, 0.0000, 0.0000)
Sc (0.7500, 0.7500, 0.7500)
Cu (0.3755, 0.3755, 0.3755)
Cu (0.3755, 0.3755, 0.8736)
Cu (0.3755, 0.8736, 0.3755)
Cu (0.8736, 0.3755, 0.3755)

Computed, not measured: a crystal of BaZnRh2 relaxed with PBEsol at the meta-GGA SCAN level of DFT.

Calculated values
E_tot: -365.6 eV per cell
Density of states at the Fermi level: 0.83 states/eV/atom
Calculated formation energy: -313 meV per atom

a b c (Å): 4.3625 4.3625 16.4102
angles (deg): 90.00 90.00 120.00
Element x y z (fractional)
Ba (0.0000, 0.0000, 0.0000)
Ba (0.3333, 0.6667, 0.6667)
Ba (0.6667, 0.3333, 0.3333)
Zn (0.0000, 0.0000, 0.8135)
Zn (0.3333, 0.6667, 0.4802)
Zn (0.6667, 0.3333, 0.1468)
Rh (0.0000, 0.0000, 0.1864)
Rh (0.0000, 0.0000, 0.5070)
Rh (0.3333, 0.6667, 0.1737)
Rh (0.3333, 0.6667, 0.8530)
Rh (0.6667, 0.3333, 0.5197)
Rh (0.6667, 0.3333, 0.8404)